Compound: PrGd2Zn3AgAu2
Source: the Open Quantum Materials Database
Functional: GGA-PBE
Structure: relaxed

Lattice parameters (Å, degrees): 3.906 13.292 7.612 90.00 90.00 90.00
Space group Amm2 (No. 38)
One atom of each set of equivalent atoms:
1 Pr 0.000 0.000 0.000 x2
2 Gd 0.000 0.203 0.389 x4
3 Zn 0.500 0.000 0.340 x2
4 Zn 0.500 0.130 0.719 x4
5 Ag 0.000 0.000 0.588 x2
6 Au 0.500 0.171 0.095 x4

Values from the calculation:
Mass density   9.69 g cm⁻³
Raw total energy   -3.581 eV/atom